# 1
Rb4NdY3Te8 | PBE-GGA | optimized geometry

Cell and atoms, written as POSCAR:
```
Rb4NdY3Te8
1.0
4.559 2.632 8.556
-4.559 2.632 8.556
0.000 -5.265 8.556
Rb Nd Y Te
4 1 3 8
direct
0.000 0.000 0.000
0.000 0.500 0.500
0.500 0.000 0.500
0.500 0.500 0.000
0.500 0.500 0.500
0.000 0.000 0.500
0.000 0.500 0.000
0.500 0.000 0.000
0.228 0.737 0.737
0.233 0.233 0.233
0.263 0.263 0.772
0.263 0.772 0.263
0.737 0.228 0.737
0.737 0.737 0.228
0.767 0.767 0.767
0.772 0.263 0.263
```

Its space group is R-3m.

# 2
Pm5SbPb2 | PBE-GGA | optimized geometry

Cell and atoms, written as POSCAR:
```
Pm5SbPb2
1.0
8.532 0.000 0.000
0.000 12.805 0.000
0.000 0.000 4.703
Pm Sb Pb
10 2 4
direct
0.000 0.000 0.000
0.153 0.284 0.000
0.210 0.572 0.500
0.290 0.072 0.500
0.347 0.784 0.000
0.500 0.500 0.000
0.653 0.216 0.000
0.710 0.928 0.500
0.790 0.428 0.500
0.847 0.716 0.000
0.000 0.500 0.000
0.500 0.000 0.000
0.079 0.826 0.500
0.421 0.326 0.500
0.579 0.674 0.500
0.921 0.174 0.500
```

Its space group is Pbam. The calculation puts the energy above the most stable polymorph in this dataset at 0 kJ/mol of formula units. For the density of states at the Fermi level, the calculation gives 17.8 states/eV/cell.

# 3
RbPm2Cl6 | PBE-GGA | optimized geometry

Cell and atoms, written as POSCAR:
```
RbPm2Cl6
1.0
7.067 0.000 0.000
-3.533 6.120 0.000
0.000 0.000 7.610
Rb Pm Cl
1 2 6
direct
0.000 0.000 0.000
0.333 0.667 0.500
0.667 0.333 0.500
0.000 0.361 0.712
0.000 0.639 0.288
0.361 0.000 0.712
0.361 0.361 0.288
0.639 0.000 0.288
0.639 0.639 0.712
```

Its space group is P-31m. For the density of states at the Fermi level, the calculation gives 5.1 states/eV/cell.

# 4
CsCu2IrBr8 | PBE-GGA | optimized geometry

Cell and atoms, written as POSCAR:
```
CsCu2IrBr8
1.0
6.558 0.000 0.000
-3.279 5.680 0.000
0.000 0.000 10.249
Cs Cu Ir Br
1 2 1 8
direct
0.000 0.000 0.000
0.333 0.667 0.705
0.667 0.333 0.295
0.000 0.000 0.500
0.020 0.701 0.356
0.299 0.319 0.356
0.319 0.020 0.644
0.333 0.667 0.935
0.667 0.333 0.065
0.681 0.980 0.356
0.701 0.681 0.644
0.980 0.299 0.644
```

Its space group is P-3. For the density of states at the Fermi level, the calculation gives 16.6 states/eV/cell.

| no. | raw total energy (eV per atom) | E_form (uncorrected) (eV/atom) |
| --- | --- | --- |
| 1 | -4.723 | -1.400 |
| 2 | -5.048 | -0.637 |
| 3 | -4.491 | -2.096 |
| 4 | -3.112 | -0.504 |